TlAg2Rh2: optimized geometry, GGA-PBE.

```
5
Lattice="-1.8836 1.8836 6.6888 1.8836 -1.8836 6.6888 1.8836 1.8836 -6.6888" Properties=species:S:1:pos:R:3 pbc="T T T"
Tl 0.0000 0.0000 0.0000
Ag 1.8836 0.0000 3.3444
Ag 0.0000 1.8836 3.3444
Rh 0.0000 0.0000 5.3986
Rh 0.0000 0.0000 7.9789
```

Results
Excess energy over the best structure of this formula in the dataset: 0.793 eV/f.u.
Formation energy from the elements: 2.23 eV per formula unit
Raw total energy: -20.54 eV/cell



AsOsCl2: optimized geometry, GGA-PBE.

```
4
Lattice="2.3661 -6.4634 0.0000 2.3661 6.4634 0.0000 0.0000 0.0000 3.6021" Properties=species:S:1:pos:R:3 pbc="T T T"
As 0.0000 0.0000 0.0000
Os 2.3661 0.0000 0.0000
Cl 2.3661 1.6236 1.8010
Cl 2.3661 -1.6236 1.8010
```

Results
Excess energy over the best structure of this formula in the dataset: 0.549 eV/f.u.
Raw total energy: -19.32 eV/cell
Energy relative to the elements, uncorrected: 1.45 kcal/mol of atoms



Hf2BeTc: optimized geometry, GGA-PBE.

```
4
Lattice="1.5069 0.8700 9.0115 -1.5069 0.8700 9.0115 0.0000 -1.7400 9.0115" Properties=species:S:1:pos:R:3 pbc="T T T"
Hf 0.0000 0.0000 2.5242
Hf 0.0000 0.0000 24.5104
Be 0.0000 0.0000 13.5173
Tc 0.0000 0.0000 0.0000
```

Results
Formation energy from the elements: 1.74 eV per formula unit
Raw total energy: -32.26 eV/cell



HoThSN: optimized geometry, GGA-PBE.

```
4
Lattice="3.6661 0.0000 0.0000 -1.8330 3.1749 0.0000 0.0000 0.0000 6.5559" Properties=species:S:1:pos:R:3 pbc="T T T"
Ho 0.0000 0.0000 0.0000
Th 1.8330 1.0583 2.7549
S 0.0000 2.1166 4.7694
N 0.0000 2.1166 1.3844
```

Results
Raw total energy: -31.21 eV/cell
Energy relative to the elements, uncorrected: -38.99 kcal/mol of atoms



SrLi2Al: optimized geometry, GGA-PBE.

```
4
Lattice="3.7154 0.0000 0.0000 0.0000 4.6406 0.0000 -1.8446 0.0000 6.4017" Properties=species:S:1:pos:R:3 pbc="T T T"
Sr 0.0000 0.0000 0.0000
Li 0.0014 2.3203 3.8204
Li 1.8490 0.0000 2.9925
Al 1.8612 2.3203 1.6117
```

Results
Formation energy from the elements: 0.16 eV per formula unit
Raw total energy: -9.10 eV/cell



SrMgAl2Au: optimized geometry, GGA-PBE.

```
5
Lattice="-2.2275 2.2496 5.7757 2.2275 -2.2496 5.7757 2.2275 2.2496 -5.7757" Properties=species:S:1:pos:R:3 pbc="T T T"
Sr 0.0000 0.0000 0.0000
Mg 2.2275 0.0000 2.9110
Al 0.0000 0.0000 7.0256
Al 0.0000 2.2496 2.8902
Au 0.0000 0.0000 4.4492
```

Results
Formation energy from the elements: -2.21 eV per formula unit
Raw total energy: -16.25 eV/cell



BaPmClO2: optimized geometry, GGA-PBE.

```
5
Lattice="4.3290 0.0000 0.0000 0.0000 4.3290 0.0000 0.0000 0.0000 6.7495" Properties=species:S:1:pos:R:3 pbc="T T T"
Ba 0.0000 0.0000 0.0000
Pm 2.1645 2.1645 2.2387
Cl 2.1645 2.1645 5.0671
O 0.0000 2.1645 1.4669
O 2.1645 0.0000 1.4669
```

Results
Raw total energy: -33.00 eV/cell
Energy relative to the elements, uncorrected: -67.19 kcal/mol of atoms



RbPm3As4O12: optimized geometry, GGA-PBE.

```
20
Lattice="5.8574 3.3818 3.1240 -5.8574 3.3818 3.1240 0.0000 -6.7636 3.1240" Properties=species:S:1:pos:R:3 pbc="T T T"
Rb 0.0000 0.0000 0.0000
Pm -3.3067 -1.0362 3.1240
Pm 2.5507 -2.3456 3.1240
Pm 0.7559 3.3818 3.1240
As -2.4928 -4.3176 4.6861
As 0.0000 0.0000 4.6861
As -2.4928 4.3176 4.6861
As 4.9855 0.0000 4.6861
O -1.3876 -1.7342 2.0467
O -4.9591 0.0000 4.6861
O -0.8081 2.0688 2.0467
O -1.9475 0.0000 4.6861
O 2.1957 -0.3346 2.0467
O 2.4795 -4.2947 4.6861
O 0.9737 -1.6866 4.6861
O -0.8081 -2.0688 7.3254
O 0.9737 1.6866 4.6861
O -1.3876 1.7342 7.3254
O 2.4795 4.2947 4.6861
O 2.1957 0.3346 7.3254
```

Results
Raw total energy: -129.11 eV/cell
Energy relative to the elements, uncorrected: -41.27 kcal/mol of atoms



In2BiAs2: optimized geometry, GGA-PBE.

```
5
Lattice="-2.1304 2.1304 7.2127 2.1304 -2.1304 7.2127 2.1304 2.1304 -7.2127" Properties=species:S:1:pos:R:3 pbc="T T T"
In 2.1304 0.0000 3.6064
In 0.0000 2.1304 3.6064
Bi 0.0000 0.0000 0.0000
As 0.0000 0.0000 5.9169
As 0.0000 0.0000 8.5086
```

Results
Excess energy over the best structure of this formula in the dataset: 0.000 eV/f.u.
Formation energy from the elements: 0.95 eV per formula unit
Raw total energy: -17.71 eV/cell



La2AlTl: optimized geometry, GGA-PBE.

```
4
Lattice="1.9620 1.1328 9.5540 -1.9620 1.1328 9.5540 0.0000 -2.2655 9.5540" Properties=species:S:1:pos:R:3 pbc="T T T"
La 0.0000 0.0000 0.0000
La 0.0000 0.0000 6.5830
Al 0.0000 0.0000 21.3853
Tl 0.0000 0.0000 13.5666
```

Results
Formation energy from the elements: 0.15 eV per formula unit
Raw total energy: -15.81 eV/cell



SrYCuGe: optimized geometry, GGA-PBE.

```
4
Lattice="0.0000 3.6552 3.6552 3.6552 0.0000 3.6552 3.6552 3.6552 0.0000" Properties=species:S:1:pos:R:3 pbc="T T T"
Sr 0.0000 0.0000 0.0000
Y 3.6552 3.6552 3.6552
Cu 5.4827 5.4827 5.4827
Ge 1.8276 1.8276 1.8276
```

Results
Formation energy from the elements: -1.42 eV per formula unit
Raw total energy: -18.28 eV/cell



AlZnIn2: optimized geometry, GGA-PBE.

```
4
Lattice="2.1765 1.2566 5.7648 -2.1765 1.2566 5.7648 0.0000 -2.5132 5.7648" Properties=species:S:1:pos:R:3 pbc="T T T"
Al 0.0000 0.0000 0.0000
Zn 0.0000 0.0000 2.8051
In 0.0000 0.0000 9.9560
In 0.0000 0.0000 13.1043
```

Results
Formation energy from the elements: 0.74 eV per formula unit
Raw total energy: -9.75 eV/cell



KMgTlF4: optimized geometry, GGA-PBE.

```
7
Lattice="-2.0340 2.0340 6.9115 2.0340 -2.0340 6.9115 2.0340 2.0340 -6.9115" Properties=species:S:1:pos:R:3 pbc="T T T"
K 0.0000 0.0000 0.0000
Mg 0.0000 0.0000 8.9321
Tl 0.0000 0.0000 4.1301
F 2.0340 0.0000 1.9986
F 0.0000 0.0000 6.9193
F 0.0000 2.0340 1.9986
F 0.0000 0.0000 10.9732
```

Results
Raw total energy: -32.39 eV/cell
Energy relative to the elements, uncorrected: -65.38 kcal/mol of atoms



MnCoN2: optimized geometry, GGA-PBE.

```
8
Lattice="-2.1253 2.1253 4.2806 2.1253 -2.1253 4.2806 2.1253 2.1253 -4.2806" Properties=species:S:1:pos:R:3 pbc="T T T"
Mn 0.0000 0.0000 0.0000
Mn 0.0000 2.1253 2.1403
Co 2.1253 0.0000 2.1403
Co 0.0000 0.0000 4.2806
N 3.1879 1.0154 -1.0702
N 1.0154 1.0626 1.0702
N -1.0626 1.1099 3.2105
N 1.1099 1.0626 5.3508
```

Results
Excess energy over the best structure of this formula in the dataset: 0.000 eV/f.u.
Raw total energy: -67.05 eV/cell
Energy relative to the elements, uncorrected: -3.45 kcal/mol of atoms



Cs2CdPd2: optimized geometry, GGA-PBE.

```
5
Lattice="-3.4346 3.4346 3.9929 3.4346 -3.4346 3.9929 3.4346 3.4346 -3.9929" Properties=species:S:1:pos:R:3 pbc="T T T"
Cs 3.4346 0.0000 1.9965
Cs 0.0000 3.4346 1.9965
Cd 0.0000 0.0000 0.0000
Pd 0.0000 0.0000 2.6575
Pd 0.0000 0.0000 5.3283
```

Results
Excess energy over the best structure of this formula in the dataset: 0.348 eV/f.u.
Formation energy from the elements: 0.58 eV per formula unit
Raw total energy: -12.43 eV/cell



BaAgO3: optimized geometry, GGA-PBE.

```
5
Lattice="4.3936 0.0000 0.0000 0.0000 4.3936 0.0000 0.0000 0.0000 4.8413" Properties=species:S:1:pos:R:3 pbc="T T T"
Ba 0.0000 0.0000 0.0000
Ag 2.1968 2.1968 2.4129
O 0.0000 0.0000 2.4181
O 0.0000 2.1968 2.4098
O 2.1968 0.0000 2.4098
```

Results
Raw total energy: -21.99 eV/cell
Energy relative to the elements, uncorrected: -10.79 kcal/mol of atoms



TbSm2ZrP4: optimized geometry, GGA-PBE.

```
8
Lattice="6.8990 0.0000 0.0000 0.0000 3.9804 0.0000 -2.2779 0.0000 6.5220" Properties=species:S:1:pos:R:3 pbc="T T T"
Tb 0.0000 0.0000 0.0000
Sm -1.1389 1.9902 3.2610
Sm 2.3105 0.0000 3.2610
Zr 3.4495 1.9902 0.0000
P 1.2165 1.9902 1.5544
P 0.0712 0.0000 5.0005
P 4.5499 0.0000 1.5215
P 3.4046 1.9902 4.9676
```

Results
Formation energy from the elements: -12.20 eV per formula unit
Raw total energy: -56.46 eV/cell



SrTi2OsC: optimized geometry, GGA-PBE.

```
5
Lattice="4.6328 0.0000 0.0000 0.0000 4.6328 0.0000 0.0000 0.0000 6.1808" Properties=species:S:1:pos:R:3 pbc="T T T"
Sr 0.0000 0.0000 0.0000
Ti 0.0000 2.3164 3.0904
Ti 2.3164 0.0000 3.0904
Os 0.0000 0.0000 3.0904
C 2.3164 2.3164 0.0000
```

Results
Formation energy from the elements: 7.65 eV per formula unit
Raw total energy: -30.27 eV/cell



PmIn3Pt3: optimized geometry, GGA-PBE.

```
14
Lattice="4.0672 2.3482 5.5630 -4.0672 2.3482 5.5630 0.0000 -4.6964 5.5630" Properties=species:S:1:pos:R:3 pbc="T T T"
Pm 0.0000 0.0000 2.8109
Pm 0.0000 0.0000 13.8781
In -1.3250 -2.3331 6.3795
In -2.6831 -0.0190 10.3095
In -1.3580 2.3141 6.3795
In 1.3580 -2.3141 10.3095
In 2.6831 0.0190 6.3795
In 1.3250 2.3331 10.3095
Pt -2.4194 0.0004 7.4541
Pt -1.2100 -2.0951 9.2348
Pt 1.2094 -2.0955 7.4542
Pt -1.2094 2.0955 9.2348
Pt 1.2100 2.0951 7.4542
Pt 2.4194 -0.0004 9.2348
```

Results
Excess energy over the best structure of this formula in the dataset: 0.346 eV/f.u.
Formation energy from the elements: -4.05 eV per formula unit
Raw total energy: -70.28 eV/cell



InB2BrO: optimized geometry, GGA-PBE.

```
5
Lattice="3.8772 0.0000 0.0000 0.0000 3.8772 0.0000 0.0000 0.0000 6.4128" Properties=species:S:1:pos:R:3 pbc="T T T"
In 0.0000 0.0000 0.0000
B 0.0000 1.9386 3.2064
B 1.9386 0.0000 3.2064
Br 1.9386 1.9386 0.0000
O 1.9386 1.9386 3.2064
```

Results
Raw total energy: -16.03 eV/cell
Energy relative to the elements, uncorrected: 30.88 kcal/mol of atoms